1.
A plane-wave DFT calculation with PBE was carried out for crystalline LiH5Pt at its relaxed geometry.

a b c (Å): 5.5251 8.3195 5.7856
angles (deg): 90.00 105.03 90.00
With the nearest neighbours (Å) after each atom.
Space group C2/c (No. 15)
One atom of each set of equivalent atoms:
Li: 0.0000 0.0320 0.2500  6 H 1.93-2.15
H: 0.0000 0.2648 0.7500  2 Pt 1.73
H: 0.0540 0.2840 0.1933  1 H 1.00
H: 0.2325 0.0531 0.0319  1 Pt 1.65
Pt: 0.2500 0.2500 0.0000  6 H 1.65-1.77

## Properties
- E above lowest polymorph: 0.0000 eV/atom
- Spin magnetization: 0.0 Bohr magnetons per cell


2.
A plane-wave DFT calculation with PBE was carried out for crystalline Li2H3Pt at its relaxed geometry.

a b c (Å): 10.2896 3.6511 3.1070
angles (deg): 90.00 107.23 90.00
With the nearest neighbours (Å) after each atom.
Space group C2/m (No. 12)
One atom of each set of equivalent atoms:
Li: 0.1366 0.0000 0.1351  3 H 1.91-2.06
H: 0.0000 0.0000 0.5000  2 Pt 1.83
H: 0.1691 0.5000 0.6629  1 Pt 1.66
Pt: 0.0000 0.5000 0.5000  4 H 1.66-1.83

## Properties
- E above lowest polymorph: 0.0000 eV/atom
- Spin magnetization: 0.0 Bohr magnetons per cell


3.
A plane-wave DFT calculation with PBE was carried out for crystalline LiH2Pt at its relaxed geometry.

a b c (Å): 4.0041 4.0041 8.4229
angles (deg): 90.00 90.00 90.00
With the nearest neighbours (Å) after each atom.
Space group I4_1/amd (No. 141, origin choice 2)
One atom of each set of equivalent atoms:
Li: 0.0000 0.2500 0.3750  4 H 2.02
H: 0.0000 0.2500 0.0908  3 Pt 1.82-2.02, 2 Li 2.02
Pt: 0.0000 0.2500 0.8750  6 H 1.82-2.02

## Properties
- E above lowest polymorph: 0.0670 eV/atom
- Spin magnetization: 0.0 Bohr magnetons per cell


4.
A plane-wave DFT calculation with PBE was carried out for crystalline Li3H8Pt2 at its relaxed geometry.

a b c (Å): 4.6915 4.6915 17.1654
angles (deg): 90.00 90.00 120.00
With the nearest neighbours (Å) after each atom.
Space group R-3m (No. 166, hexagonal axes)
One atom of each set of equivalent atoms:
Li: 0.0000 0.0000 0.0000  6 H 2.05
Li: 0.0000 0.0000 0.2060  4 H 2.00-2.09
H: 0.0000 0.0000 0.3226  1 Pt 1.63
H: 0.0701 0.5350 0.7684  1 Pt 1.67, 2 H 1.85
Pt: 0.0000 0.0000 0.4174  4 H 1.63-1.67

## Properties
- Final energy: -3.507 eV per atom
- Spin magnetization: 0.0 Bohr magnetons per cell


5.
A plane-wave DFT calculation with PBE was carried out for crystalline Li2HPt at its relaxed geometry.

a b c (Å): 5.4993 7.1735 4.6843
angles (deg): 90.00 90.00 90.00
With the nearest neighbours (Å) after each atom.
Space group Pnma (No. 62)
One atom of each set of equivalent atoms:
Li: 0.1988 0.0716 0.1847  1 H 2.11
H: 0.1916 0.7500 0.0193  2 Pt 1.72-1.82
Pt: 0.0364 0.2500 0.6992  2 H 1.72-1.82

## Properties
- E above lowest polymorph: 0.0000 eV/atom
- Spin magnetization: 0.0 Bohr magnetons per cell


6.
A plane-wave DFT calculation with PBE was carried out for crystalline LiH2Pt at its relaxed geometry.

a b c (Å): 5.0691 5.0691 5.0691
angles (deg): 90.00 90.00 90.00
With the nearest neighbours (Å) after each atom.
Space group Fm-3m (No. 225)
One atom of each set of equivalent atoms:
Li: 0.0000 0.0000 0.0000  8 H 2.19
H: 0.2500 0.2500 0.2500  4 Li 2.19, 4 Pt 2.19
Pt: 0.0000 0.0000 0.5000  8 H 2.19

## Properties
- E above lowest polymorph: 0.5413 eV/atom
- Spin magnetization: 0.0 Bohr magnetons per cell


7.
A plane-wave DFT calculation with PBE was carried out for crystalline Li2HPt at its relaxed geometry.

a b c (Å): 2.7356 2.7356 21.2524
angles (deg): 90.00 90.00 120.00
With the nearest neighbours (Å) after each atom.
Space group R-3m (No. 166, hexagonal axes)
One atom of each set of equivalent atoms:
Li: 0.0000 0.0000 0.1124  3 H 1.96
H: 0.0000 0.0000 0.5000  6 Li 1.96
Pt: 0.0000 0.0000 0.0000  2 Li 2.39

## Properties
- E above lowest polymorph: 0.0732 eV/atom
- Spin magnetization: 0.0 Bohr magnetons per cell


8.
A plane-wave DFT calculation with PBE was carried out for crystalline Li2H3Pt at its relaxed geometry.

a b c (Å): 4.5639 4.5639 5.8180
angles (deg): 90.00 90.00 120.00
With the nearest neighbours (Å) after each atom.
Space group P-3m1 (No. 164)
One atom of each set of equivalent atoms:
Li: 0.0000 0.0000 0.0000  6 H 1.77
Li: 0.0000 0.0000 0.5000  6 H 2.09
Li: 0.3333 0.6667 0.1893  6 H 2.29
H: 0.1602 0.3204 0.7868  1 Pt 1.64, 1 Li 1.77
Pt: 0.3333 0.6667 0.6318  3 H 1.64

## Properties
- E above lowest polymorph: 0.1182 eV/atom
- Spin magnetization: 0.0 Bohr magnetons per cell


9.
A plane-wave DFT calculation with PBE was carried out for crystalline LiH4Pt2 at its relaxed geometry.

a b c (Å): 6.3080 6.3080 6.8397
angles (deg): 90.00 90.00 90.00
With the nearest neighbours (Å) after each atom.
Space group I4_1/amd (No. 141, origin choice 2)
One atom of each set of equivalent atoms:
Li: 0.0000 0.2500 0.3750  4 H 2.18
H: 0.0000 0.0704 0.7435  3 Pt 1.81-1.94
Pt: 0.0000 0.0000 0.0000  6 H 1.81-1.94

## Properties
- E above lowest polymorph: 0.0483 eV/atom
- Spin magnetization: 0.0 Bohr magnetons per cell


10.
A plane-wave DFT calculation with PBE was carried out for crystalline LiH4Pt at its relaxed geometry.

a b c (Å): 4.8343 4.4131 5.2260
angles (deg): 90.00 111.83 90.00
With the nearest neighbours (Å) after each atom.
Space group P2_1/c (No. 14)
One atom of each set of equivalent atoms:
Li: 0.0000 0.0000 0.0000  4 H 1.91-2.11
H: 0.1417 0.0863 0.3860  1 Pt 1.65
H: 0.4235 0.7399 0.2313  2 Pt 1.74-1.75
Pt: 0.5000 0.0000 0.5000  6 H 1.65-1.75

## Properties
- E above lowest polymorph: 0.0000 eV/atom
- Spin magnetization: 0.0 Bohr magnetons per cell


11.
A plane-wave DFT calculation with PBE was carried out for crystalline LiH3Pt3 at its relaxed geometry.

a b c (Å): 4.9372 4.9372 21.0108
angles (deg): 90.00 90.00 120.00
With the nearest neighbours (Å) after each atom.
Space group R-3 (No. 148, hexagonal axes)
One atom of each set of equivalent atoms:
Li: 0.0000 0.0000 0.1667  6 H 2.18-2.19
H: 0.0007 0.6829 0.4339  3 Pt 1.82-1.91
Pt: 0.9999 0.3356 0.3936  3 H 1.82-1.91

## Properties
- Final energy: -4.475 eV per atom
- Spin magnetization: 0.0 Bohr magnetons per cell


12.
A plane-wave DFT calculation with PBE was carried out for crystalline Li3H6Pt at its relaxed geometry.

a b c (Å): 7.9999 7.9999 9.4005
angles (deg): 90.00 90.00 120.00
With the nearest neighbours (Å) after each atom.
Space group R-3 (No. 148, hexagonal axes)
One atom of each set of equivalent atoms:
Li: 0.0483 0.7795 0.1998  6 H 1.93-2.11
H: 0.0384 0.8450 0.3997  1 Pt 1.70
H: 0.0393 0.8488 0.8947  1 Pt 1.71
Pt: 0.0000 0.0000 0.0000  6 H 1.71
Pt: 0.0000 0.0000 0.5000  6 H 1.70

## Properties
- Final energy: -3.524 eV per atom
- Spin magnetization: 0.0 Bohr magnetons per cell


13.
A plane-wave DFT calculation with PBE was carried out for crystalline Li2H3Pt2 at its relaxed geometry.

a b c (Å): 5.3007 5.0165 5.5906
angles (deg): 90.00 118.05 90.00
With the nearest neighbours (Å) after each atom.
Space group P2_1/c (No. 14)
One atom of each set of equivalent atoms:
Li: 0.1616 0.1604 0.3897  5 H 2.09-2.31
H: 0.0000 0.0000 0.0000  2 Pt 1.82
H: 0.2773 0.5635 0.2671  2 Pt 1.75-1.84
Pt: 0.3416 0.6642 0.6077  3 H 1.75-1.84

## Properties
- Final energy: -4.081 eV per atom
- Spin magnetization: 0.0 Bohr magnetons per cell


14.
A plane-wave DFT calculation with PBE was carried out for crystalline LiH2Pt at its relaxed geometry.

a b c (Å): 3.5144 3.5144 2.9089
angles (deg): 90.00 90.00 90.00
With the nearest neighbours (Å) after each atom.
Space group P4/mmm (No. 123)
One atom of each set of equivalent atoms:
Li: 0.0000 0.0000 0.0000  8 H 2.28
H: 0.0000 0.5000 0.5000  2 Pt 1.76
Pt: 0.5000 0.5000 0.5000  4 H 1.76

## Properties
- E above lowest polymorph: 0.0000 eV/atom
- Spin magnetization: 0.0 Bohr magnetons per cell


15.
A plane-wave DFT calculation with PBE was carried out for crystalline Li3H12Pt5 at its relaxed geometry.

a b c (Å): 11.1017 11.1017 11.1017
angles (deg): 90.00 90.00 90.00
With the nearest neighbours (Å) after each atom.
Space group Ia-3d (No. 230)
One atom of each set of equivalent atoms:
Li: 0.0000 0.2500 0.1250  8 H 2.06-2.19
H: 0.0195 0.0551 0.6477  2 Pt 1.74-1.76
Pt: 0.0000 0.0000 0.0000  6 H 1.76
Pt: 0.0000 0.2500 0.3750  4 H 1.74

## Properties
- Final energy: -3.970 eV per atom
- Spin magnetization: 0.0 Bohr magnetons per cell


16.
A plane-wave DFT calculation with PBE was carried out for crystalline Li2H6Pt at its relaxed geometry.

a b c (Å): 6.6246 6.6246 6.6246
angles (deg): 90.00 90.00 90.00
With the nearest neighbours (Å) after each atom.
Space group Fm-3m (No. 225)
One atom of each set of equivalent atoms:
Li: 0.2500 0.2500 0.2500  12 H 2.34
H: 0.0000 0.0000 0.2485  1 Pt 1.65
Pt: 0.0000 0.0000 0.0000  6 H 1.65

## Properties
- E above lowest polymorph: 0.0000 eV/atom
- Spin magnetization: 0.0 Bohr magnetons per cell


17.
A plane-wave DFT calculation with PBE was carried out for crystalline Li2HPt at its relaxed geometry.

a b c (Å): 5.8076 5.8076 5.8076
angles (deg): 90.00 90.00 90.00
With the nearest neighbours (Å) after each atom.
Space group Fm-3m (No. 225)
One atom of each set of equivalent atoms:
Li: 0.2500 0.2500 0.2500  4 H 2.51, 4 Pt 2.51
H: 0.0000 0.0000 0.0000  8 Li 2.51
Pt: 0.0000 0.0000 0.5000  8 Li 2.51

## Properties
- E above lowest polymorph: 0.5535 eV/atom
- Spin magnetization: 0.0 Bohr magnetons per cell


18.
A plane-wave DFT calculation with PBE was carried out for crystalline Li2H6Pt at its relaxed geometry.

a b c (Å): 4.3891 4.3891 8.2396
angles (deg): 90.00 90.00 90.00
With the nearest neighbours (Å) after each atom.
Space group P4_2/mnm (No. 136)
One atom of each set of equivalent atoms:
Li: 0.0000 0.0000 0.1659  6 H 1.96-2.00
H: 0.1860 0.1860 0.3581  1 Pt 1.64
H: 0.2351 0.2351 0.0000  1 Pt 1.64
Pt: 0.0000 0.0000 0.5000  6 H 1.64

## Properties
- E above lowest polymorph: 0.0913 eV/atom
- Spin magnetization: 0.0 Bohr magnetons per cell